Here is an optimized crystal structure of CaTeRh2 from Alexandria via LeMat-Bulk. Energies are from PBE.

## Properties
Total moment, μB per formula unit: 0.00
Uncorrected formation energy, meV per atom: -485
Distance to the lowest polymorph of the same formula, eV per atom: 0.000

a b c (Å): 5.541 5.541 5.541
angles (deg): 47.95 47.95 47.95
Fractional positions:
Ca1 0.000 0.000 0.000
Te1 0.500 0.500 0.500
Rh1 0.202 0.202 0.202
Rh2 0.798 0.798 0.798

Here is an optimized crystal structure of CaTeRh2 from Alexandria via LeMat-Bulk. Energies are from PBE.

## Properties
Total moment, μB per formula unit: 0.00
Uncorrected formation energy, meV per atom: -230
Distance to the lowest polymorph of the same formula, eV per atom: 0.255

a b c (Å): 3.324 4.313 5.754
angles (deg): 90.00 90.00 90.00
Fractional positions:
Ca1 0.000 0.000 0.000
Te1 0.500 0.000 0.500
Rh1 0.500 0.500 0.240
Rh2 0.500 0.500 0.760

Here is an optimized crystal structure of CaTl2TeRh from Alexandria via LeMat-Bulk. Energies are from PBE.

## Properties
Total moment, μB per formula unit: 0.00
Uncorrected formation energy, meV per atom: -394

a b c (Å): 5.227 5.227 5.513
angles (deg): 90.00 90.00 90.00
Fractional positions:
Ca1 0.000 0.000 0.000
Tl1 0.000 0.500 0.500
Tl2 0.500 0.000 0.500
Te1 0.500 0.500 0.000
Rh1 0.000 0.000 0.500

Here is an optimized crystal structure of CaThRh2 from Alexandria via LeMat-Bulk. Energies are from PBE.

## Properties
Total moment, μB per formula unit: 0.00
Distance to the lowest polymorph of the same formula, eV per atom: 0.000
Energy of formation from the pure elements, meV/atom: -695

a b c (Å): 3.589 3.589 6.878
angles (deg): 90.00 90.00 90.00
Fractional positions:
Ca1 0.000 0.000 0.000
Th1 0.000 0.000 0.500
Rh1 0.500 0.500 0.281
Rh2 0.500 0.500 0.719

Here is an optimized crystal structure of Ca2Th4Rh9 from Alexandria via LeMat-Bulk. Energies are from PBE.

## Properties
Total moment, μB per formula unit: 0.00
Energy of formation from the pure elements, meV/atom: -646

a b c (Å): 4.644 4.644 17.076
angles (deg): 90.00 90.00 120.00
Fractional positions:
Ca1 0.333 0.667 0.252
Ca2 0.667 0.333 0.748
Th1 0.333 0.667 0.605
Th2 0.333 0.667 0.902
Th3 0.667 0.333 0.098
Th4 0.667 0.333 0.395
Rh1 0.000 0.000 0.000
Rh2 0.000 0.000 0.167
Rh3 0.000 0.000 0.342
Rh4 0.000 0.000 0.658
Rh5 0.000 0.000 0.833
Rh6 0.333 0.667 0.080
Rh7 0.333 0.667 0.435
Rh8 0.667 0.333 0.565
Rh9 0.667 0.333 0.920

Here is an optimized crystal structure of Ca3ThRh4 from Alexandria via LeMat-Bulk. Energies are from PBE.

## Properties
Total moment, μB per formula unit: 0.00
Energy of formation from the pure elements, meV/atom: -550

a b c (Å): 4.888 4.888 7.752
angles (deg): 108.12 108.12 90.10
Fractional positions:
Ca1 0.000 0.000 0.000
Ca2 0.245 0.245 0.490
Ca3 0.755 0.755 0.510
Th1 0.500 0.500 0.000
Rh1 0.118 0.616 0.232
Rh2 0.384 0.882 0.768
Rh3 0.616 0.118 0.232
Rh4 0.882 0.384 0.768

no.,VASP energy (eV/cell)
1,-21.8
2,-20.8
3,-19.2
4,-26.9
5,-109.5
6,-47.2